# 1
3
Lattice="4.964 0.000 0.000 -2.482 4.299 0.000 0.000 0.000 4.464" Properties=species:S:1:pos:R:3 comment="KPbS | Alexandria via LeMat-Bulk | PBE | optimized geometry" formation_energy_uncorrected_ev_per_atom=-0.48 vol_a3_per_atom=31.75 crystal_system=trigonal final_energy_ev_per_atom=-3.458 pbc="T T T"
K 0.000 0.000 0.000
Pb 2.482 1.433 2.231
S 0.000 2.866 2.239

# 2
10
Lattice="6.499 0.000 0.000 0.000 6.499 0.000 0.000 0.000 4.861" Properties=species:S:1:pos:R:3 comment="Na2Zn2P | Alexandria via LeMat-Bulk | PBE | optimized geometry" ef_ev_per_fu=-0.40 vol_a3_per_atom=20.53 crystal_system=tetragonal final_energy_ev_per_atom=-2.199 pbc="T T T"
Na 1.174 2.075 0.000
Na 2.075 5.324 0.000
Na 4.424 1.174 0.000
Na 5.324 4.424 0.000
Zn 0.862 4.111 2.430
Zn 2.388 0.862 2.430
Zn 4.111 5.637 2.430
Zn 5.637 2.388 2.430
P 0.000 0.000 2.430
P 3.249 3.249 2.430

# 3
5
Lattice="4.937 0.000 0.000 0.000 4.937 0.000 0.000 0.000 5.079" Properties=species:S:1:pos:R:3 comment="AlTc2TeCl | Alexandria via LeMat-Bulk | PBE | optimized geometry" formation_energy_uncorrected_ev_per_atom=1.35 vol_a3_per_atom=24.76 crystal_system=tetragonal final_energy_ev_per_atom=-4.543 pbc="T T T"
Al 0.000 0.000 0.000
Tc 0.000 2.468 0.000
Tc 2.468 0.000 0.000
Te 0.000 0.000 2.539
Cl 2.468 2.468 2.539

# 4
20
Lattice="4.626 -7.736 0.000 4.626 7.736 0.000 -1.453 0.000 9.782" Properties=species:S:1:pos:R:3 comment="Pm2Nd6SmY | Alexandria via LeMat-Bulk | PBE | optimized geometry" ef_ev_per_fu=1.09 vol_a3_per_atom=35.01 crystal_system=monoclinic final_energy_ev_per_atom=-4.820 pbc="T T T"
Pm 2.223 0.771 0.417
Pm 1.496 -0.771 5.308
Pm 6.302 0.771 4.474
Pm 5.575 -0.771 9.365
Nd 2.443 4.287 1.826
Nd 3.227 4.896 5.424
Nd 3.844 4.896 9.249
Nd 3.135 1.633 3.716
Nd 6.082 4.287 3.065
Nd 5.391 1.633 1.176
Nd 2.408 -1.633 8.607
Nd 1.716 -4.287 6.718
Nd 4.664 -1.633 6.067
Nd 3.954 -4.896 0.533
Nd 4.571 -4.896 4.358
Nd 5.355 -4.287 7.956
Sm 4.263 7.404 2.446
Sm 3.536 -7.404 7.337
Y 3.536 1.419 7.337
Y 4.263 -1.419 2.446

# 5
5
Lattice="5.039 0.000 0.000 0.000 5.039 0.000 0.000 0.000 5.039" Properties=species:S:1:pos:R:3 comment="TaBr3F | Alexandria via LeMat-Bulk | PBE | optimized geometry" formation_energy_uncorrected_ev_per_atom=-0.49 vol_a3_per_atom=25.59 crystal_system=cubic final_energy_ev_per_atom=-4.237 pbc="T T T"
Ta 0.000 0.000 0.000
Br 0.000 0.000 2.519
Br 0.000 2.519 0.000
Br 2.519 0.000 0.000
F 2.519 2.519 2.519